Entry from Alexandria: Cs3Ce3MoS8 after structural relaxation (PBE-GGA).

Summary:
Spin magnetization ... 5.03 μB per formula unit
N(E_F) ... 13.7 states/eV/f.u.
Uncorrected energy ... -86.64 eV for the cell shown
Formation energy from raw total energies ... -144.3 kJ/mol of atoms

```
15
Lattice="8.150 0.000 0.000 -4.075 7.058 -0.038 0.000 -4.662 8.233" Properties=species:S:1:pos:R:3 pbc="T T T"
S 6.274 -1.256 2.705
S 0.000 2.366 2.558
S 2.199 3.652 5.489
S 1.876 -1.256 2.705
S 0.000 -0.156 5.510
S 4.075 2.553 2.684
S 4.075 0.031 5.636
S -2.199 3.652 5.489
Cs 2.038 3.529 -0.019
Cs 0.000 0.000 0.000
Cs -2.038 3.529 -0.019
Mo 0.000 -2.331 4.116
Ce -2.038 1.198 4.097
Ce 4.075 -2.331 4.116
Ce 2.038 1.198 4.097
```


Entry from Alexandria: CsCeN2 after structural relaxation (PBE-GGA).

Summary:
Spin magnetization ... 1.04 μB per formula unit
N(E_F) ... 3.6 states/eV/f.u.
Uncorrected energy ... -25.25 eV for the cell shown
Formation energy from raw total energies ... -43.6 kJ/mol of atoms

```
4
Lattice="3.686 0.000 0.000 1.843 3.192 0.000 1.843 1.064 7.084" Properties=species:S:1:pos:R:3 pbc="T T T"
N 5.529 3.192 6.003
N 1.843 1.064 1.081
Cs 3.686 2.128 3.542
Ce 0.000 0.000 0.000
```


Entry from Alexandria: Cs4CePa3N8 after structural relaxation (PBE-GGA).

Summary:
Spin magnetization ... 0.00 μB per formula unit
N(E_F) ... 16.0 states/eV/f.u.
Uncorrected energy ... -119.69 eV for the cell shown
Formation energy from raw total energies ... -92.0 kJ/mol of atoms

```
16
Lattice="7.281 0.000 0.000 0.000 8.222 0.626 -3.640 -3.625 5.176" Properties=species:S:1:pos:R:3 pbc="T T T"
N -1.754 1.953 5.190
N 3.640 0.895 3.108
N 0.000 3.702 2.694
N 0.000 0.834 3.153
N 1.886 2.644 0.612
N 5.394 2.644 0.612
N 3.640 3.763 2.649
N 1.754 1.953 5.190
Ce 0.000 4.111 0.313
Pa 3.640 4.111 0.313
Pa -1.820 2.298 2.901
Pa 1.820 2.298 2.901
Cs 3.640 0.000 0.000
Cs 1.820 -1.813 2.588
Cs 0.000 0.000 0.000
Cs -1.820 -1.813 2.588
```


Entry from Alexandria: CsNaCeO3 after structural relaxation (PBE-GGA).

Summary:
Spin magnetization ... 0.00 μB per formula unit
N(E_F) ... 0.0 states/eV/f.u.
Uncorrected energy ... -74.23 eV for the cell shown
Formation energy from raw total energies ... -227.3 kJ/mol of atoms

```
12
Lattice="3.703 0.000 0.000 0.000 9.800 0.661 0.000 -2.900 6.724" Properties=species:S:1:pos:R:3 pbc="T T T"
O 2.777 -0.002 4.080
O 0.926 2.278 5.890
O 2.777 7.393 0.826
O 0.926 6.902 3.304
O 0.926 -0.494 6.559
O 2.777 4.621 1.494
Na 0.926 -1.420 4.479
Na 2.777 8.320 2.905
Ce 0.926 6.169 1.268
Ce 2.777 0.730 6.117
Cs 2.777 4.936 4.711
Cs 0.926 1.963 2.674
```


Entry from Alexandria: Cs2NaCe2S6 after structural relaxation (PBE-GGA).

Summary:
Spin magnetization ... 0.28 μB per formula unit
N(E_F) ... 20.8 states/eV/f.u.
Uncorrected energy ... -55.28 eV for the cell shown
Formation energy from raw total energies ... -137.1 kJ/mol of atoms

```
11
Lattice="7.274 -0.102 0.126 -3.684 6.273 0.126 -1.208 -2.076 8.061" Properties=species:S:1:pos:R:3 pbc="T T T"
Ce 2.978 1.007 4.157
Ce -0.596 3.087 4.157
S 1.667 2.865 5.668
S 0.715 1.229 2.646
S -2.008 1.215 5.531
S 2.049 -1.145 5.531
S 0.333 5.239 2.782
S 4.390 2.879 2.782
Cs 5.557 0.896 0.126
Cs -1.967 5.274 0.126
Na -0.604 -1.038 4.031
```


Entry from Alexandria: Cs2Na2CeS4 after structural relaxation (PBE-GGA).

Summary:
Spin magnetization ... 0.00 μB per formula unit
Uncorrected energy ... -39.05 eV for the cell shown
Formation energy from raw total energies ... -131.5 kJ/mol of atoms

```
9
Lattice="-1.123 -4.239 -0.276 4.360 -1.590 6.691 -7.028 4.001 2.107" Properties=species:S:1:pos:R:3 pbc="T T T"
Ce 0.000 0.000 0.000
S -2.056 0.427 1.803
S -1.734 -2.255 6.719
S 2.770 -3.344 5.130
S -6.561 1.517 3.393
Na 0.982 -2.998 7.093
Na -4.772 1.171 1.429
Cs 0.338 -0.366 4.254
Cs -4.129 -1.461 4.269
```


Entry from Alexandria: Cs3NaCe3S8 after structural relaxation (PBE-GGA).

Summary:
Spin magnetization ... 0.00 μB per formula unit
Uncorrected energy ... -78.47 eV for the cell shown
Formation energy from raw total energies ... -152.9 kJ/mol of atoms

```
15
Lattice="-2.904 1.408 7.688 -2.916 -6.422 -4.447 8.656 -0.893 3.433" Properties=species:S:1:pos:R:3 pbc="T T T"
S 3.780 -3.324 2.037
S 1.084 -5.647 3.538
S 2.472 -2.510 5.915
S -0.944 -2.582 4.638
S 2.429 -6.299 -0.023
S 0.364 -3.396 0.760
S 0.407 0.393 6.698
S 1.753 -0.260 3.136
Cs -2.910 -2.507 1.620
Cs -1.458 -3.211 -2.223
Cs 0.000 0.000 0.000
Ce 2.870 -3.657 -0.507
Ce 1.418 -2.953 3.337
Ce 2.876 0.258 5.560
Na 4.328 -0.446 1.717
```


Entry from Alexandria: Cs2NaCe2Se6 after structural relaxation (PBE-GGA).

Summary:
Spin magnetization ... 0.00 μB per formula unit
N(E_F) ... 20.4 states/eV/f.u.
Uncorrected energy ... -50.72 eV for the cell shown
Formation energy from raw total energies ... -130.9 kJ/mol of atoms

```
11
Lattice="7.515 -0.072 0.121 -3.777 6.497 0.121 -1.270 -2.183 8.406" Properties=species:S:1:pos:R:3 pbc="T T T"
Se 4.508 3.030 2.850
Se -2.039 1.213 5.797
Se 2.062 -1.173 5.797
Se 1.727 2.969 5.942
Se 0.741 1.274 2.705
Se 0.406 5.416 2.850
Ce -0.625 3.203 4.324
Ce 3.093 1.040 4.324
Cs -1.994 5.460 0.121
Cs 5.732 0.966 0.121
Na -0.635 -1.091 4.203
```


- Among the records above, which one has the highest uncorrected energy?
  CsCeN2